A relaxed MgCrMo crystal, computed with PBE.

Properties
Its crystal system is trigonal. The total magnetization is 0.0 μB/f.u. For the formation enthalpy at 0 K, the calculation gives 0.444 eV/atom. The value obtained for the density is 5724 kg/m³. The value obtained for the total DFT energy (no corrections) is -20.717 eV for the cell shown. Its energy above the most stable polymorph in this dataset is 136 meV per atom.

abc: 2.9670 2.9670 6.5541
angles: 90.00 90.00 120.00
Closest atoms and distances in Å follow each position.
Atoms (fractional coordinates):
Cr: 0.0000 0.0000 0.9638  3 Mo 2.39
Mg: 0.3333 0.6667 0.3266  3 Cr 2.93, 6 Mg 2.97, 3 Mo 3.04
Mo: 0.6667 0.3333 0.7097  3 Cr 2.39